First-principles (PBE) data for a relaxed structure of Li2CaOs2O7, as listed in Alexandria via LeMat-Bulk.

```
12
Lattice="-3.193 1.259 -1.698 -1.508 -3.506 0.236 -1.273 3.246 9.121" Properties=species:S:1:pos:R:3 pbc="T T T"
Li -2.568 -0.695 4.314
Li -3.410 1.685 3.345
Ca -0.074 -0.172 0.012
Os -2.808 1.652 6.508
Os -3.161 -0.643 1.151
O -3.600 -0.072 6.717
O -3.910 -0.215 2.876
O -1.516 -1.287 1.897
O -2.365 1.092 0.940
O -2.067 1.207 4.784
O -4.444 2.319 5.760
O -3.568 2.251 8.381
```

Calculated values
M_tot: 0.00 μB per formula unit
Volume: 11.45 Å³/atom
E_tot: -6.803 eV per atom
Formation energy without anion corrections: -1553 meV/atom